[1]
# TaMnTl

A relaxed TaMnTl crystal (PBE, Alexandria via LeMat-Bulk).

CIF file:
```
data_TaMnTl
_chemical_formula_sum 'Ta4 Mn4 Tl4'
_symmetry_space_group_name_H-M 'F -4 3 m'
_symmetry_Int_Tables_number 216
_symmetry_space_group_name_Hall 'F -4 2 3'
_cell_length_a 6.1982
_cell_length_b 6.1982
_cell_length_c 6.1982
_cell_angle_alpha 90.00
_cell_angle_beta 90.00
_cell_angle_gamma 90.00
loop_
_atom_site_label
_atom_site_type_symbol
_atom_site_fract_x
_atom_site_fract_y
_atom_site_fract_z
_atom_site_occupancy
Ta1 Ta 0.0000 0.0000 0.0000 1
Mn1 Mn 0.2500 0.2500 0.7500 1
Tl1 Tl 0.0000 0.0000 0.5000 1
```

## Properties
The calculation puts the distance to the lowest polymorph of the same formula at 0.3372 eV/atom. For the energy relative to the elements, the calculation gives 757 meV per atom. The value obtained for the volume is 19.84 A^3/atom. The calculation puts the total energy at -7.0394 eV per atom. As for the total magnetic moment: 1.01 μB/f.u.

[2]
# PmDy4Er15

A relaxed PmDy4Er15 crystal (PBE, Alexandria via LeMat-Bulk).

CIF file:
```
data_PmDy4Er15
_chemical_formula_sum 'Pm1 Dy4 Er15'
_symmetry_space_group_name_H-M 'P 4/m m m'
_symmetry_Int_Tables_number 123
_symmetry_space_group_name_Hall '-P 4 2'
_cell_length_a 4.9787
_cell_length_b 4.9787
_cell_length_c 24.8709
_cell_angle_alpha 90.00
_cell_angle_beta 90.00
_cell_angle_gamma 90.00
loop_
_atom_site_label
_atom_site_type_symbol
_atom_site_fract_x
_atom_site_fract_y
_atom_site_fract_z
_atom_site_occupancy
Pm1 Pm 0.0000 0.0000 0.0000 1
Dy1 Dy 0.0000 0.0000 0.2005 1
Dy2 Dy 0.0000 0.0000 0.4002 1
Er1 Er 0.0000 0.5000 0.1011 1
Er2 Er 0.0000 0.5000 0.3003 1
Er3 Er 0.0000 0.5000 0.5000 1
Er4 Er 0.5000 0.5000 0.0000 1
Er5 Er 0.5000 0.5000 0.2009 1
Er6 Er 0.5000 0.5000 0.4001 1
```

## Properties
For the energy relative to the elements, the calculation gives 22 meV per atom. The value obtained for the volume is 30.82 A^3/atom. The calculation puts the total energy at -4.5584 eV per atom. As for the total magnetic moment: 0.00 μB/f.u.